{"formula": "Mn4Cl", "functional": "GGA-PBE", "state": "relaxed", "lattice_angstrom": [[4.275, 0.000, 0.000], [0.000, 4.275, 0.000], [0.000, 0.000, 4.275]], "species": ["Mn", "Mn", "Mn", "Mn", "Cl"], "fractional_positions": [[0.000, 0.000, 0.000], [0.000, 0.500, 0.500], [0.500, 0.000, 0.500], [0.500, 0.500, 0.000], [0.500, 0.500, 0.500]], "dft_energy_ev_per_atom": -6.93, "vol_a3_per_fu": 78, "formation_energy_uncorrected_ev_per_atom": 0.77}



{"formula": "Mn3Cl", "functional": "GGA-PBE", "state": "relaxed", "lattice_angstrom": [[0.000, 3.194, 3.194], [3.194, 0.000, 3.194], [3.194, 3.194, 0.000]], "species": ["Mn", "Mn", "Mn", "Cl"], "fractional_positions": [[0.000, 0.000, 0.000], [0.250, 0.250, 0.250], [0.750, 0.750, 0.750], [0.500, 0.500, 0.500]], "dft_energy_ev_per_atom": -6.48, "vol_a3_per_fu": 65, "formation_energy_uncorrected_ev_per_atom": 0.86}



{"formula": "MnCl", "functional": "GGA-PBE", "state": "relaxed", "lattice_angstrom": [[3.282, 0.000, 0.000], [-1.641, 2.842, 0.000], [0.000, 0.000, 3.650]], "species": ["Mn", "Cl"], "fractional_positions": [[0.000, 0.000, 0.000], [0.333, 0.667, 0.500]], "dft_energy_ev_per_atom": -5.63, "vol_a3_per_fu": 34, "formation_energy_uncorrected_ev_per_atom": -0.12}



{"formula": "MnCl3", "functional": "GGA-PBE", "state": "relaxed", "lattice_angstrom": [[-1.582, 5.602, 3.326], [1.582, -5.602, 3.326], [1.582, 5.602, -3.326]], "species": ["Mn", "Cl", "Cl", "Cl"], "fractional_positions": [[0.000, 0.000, 0.000], [0.004, 0.363, 0.641], [0.274, 0.774, 0.500], [0.723, 0.363, 0.359]], "dft_energy_ev_per_atom": -4.48, "vol_a3_per_fu": 118, "formation_energy_uncorrected_ev_per_atom": -0.81}



{"formula": "Mn3Cl", "functional": "GGA-PBE", "state": "relaxed", "lattice_angstrom": [[2.930, 0.000, 0.000], [0.000, 2.930, 0.000], [0.000, 0.000, 7.212]], "species": ["Mn", "Mn", "Mn", "Cl"], "fractional_positions": [[0.000, 0.000, 0.000], [0.500, 0.500, 0.226], [0.500, 0.500, 0.774], [0.000, 0.000, 0.500]], "dft_energy_ev_per_atom": -7.11, "vol_a3_per_fu": 62, "formation_energy_uncorrected_ev_per_atom": 0.23}



{"formula": "Mn2Cl3", "functional": "GGA-PBE", "state": "relaxed", "lattice_angstrom": [[0.000, 5.570, 3.724], [5.385, 0.000, 3.724], [5.385, 5.570, 0.000]], "species": ["Mn", "Mn", "Mn", "Mn", "Cl", "Cl", "Cl", "Cl", "Cl", "Cl"], "fractional_positions": [[0.089, 0.911, 0.844], [0.094, 0.406, 0.339], [0.406, 0.094, 0.161], [0.911, 0.089, 0.156], [0.187, 0.449, 0.935], [0.315, 0.821, 0.063], [0.449, 0.187, 0.429], [0.718, 0.718, 0.282], [0.821, 0.315, 0.801], [0.968, 0.968, 0.532]], "dft_energy_ev_per_atom": -5.46, "vol_a3_per_fu": 112, "formation_energy_uncorrected_ev_per_atom": -0.68}



{"formula": "MnCl", "functional": "GGA-PBE", "state": "relaxed", "lattice_angstrom": [[3.266, 0.000, 0.000], [-1.633, 2.829, 0.000], [0.000, 0.000, 7.488]], "species": ["Mn", "Mn", "Cl", "Cl"], "fractional_positions": [[0.333, 0.667, 0.250], [0.667, 0.333, 0.750], [0.000, 0.000, 0.000], [0.000, 0.000, 0.500]], "dft_energy_ev_per_atom": -5.59, "vol_a3_per_fu": 35, "formation_energy_uncorrected_ev_per_atom": -0.09}



{"formula": "Mn3Cl", "functional": "GGA-PBE", "state": "relaxed", "lattice_angstrom": [[4.828, -1.467, 0.000], [4.828, 1.467, 0.000], [-1.741, 0.000, 4.547]], "species": ["Mn", "Mn", "Mn", "Cl"], "fractional_positions": [[0.000, 0.000, 0.000], [0.235, 0.235, 0.745], [0.765, 0.765, 0.255], [0.500, 0.500, 0.500]], "dft_energy_ev_per_atom": -6.80, "vol_a3_per_fu": 64, "formation_energy_uncorrected_ev_per_atom": 0.54}



- Which formula does entry 4 have?
  MnCl3



Repeat the fourth record exactly.
{"formula": "MnCl3", "functional": "GGA-PBE", "state": "relaxed", "lattice_angstrom": [[-1.582, 5.602, 3.326], [1.582, -5.602, 3.326], [1.582, 5.602, -3.326]], "species": ["Mn", "Cl", "Cl", "Cl"], "fractional_positions": [[0.000, 0.000, 0.000], [0.004, 0.363, 0.641], [0.274, 0.774, 0.500], [0.723, 0.363, 0.359]], "dft_energy_ev_per_atom": -4.48, "vol_a3_per_fu": 118, "formation_energy_uncorrected_ev_per_atom": -0.81}